(1)
Er4GeTe2As | PBE | optimized geometry

The uncorrected energy is -5.5514 eV per atom. The calculation puts the raw formation energy at -1.3262 eV per atom. The calculation puts the density of states at the Fermi level at 1.585 states/eV/cell. The crystal system is monoclinic. The value obtained for the density is 8.36 g/cm3.

Unit cell a=7.2601 b=4.1911 c=7.4016 alpha=90.00 beta=109.02 gamma=90.00
Element x y z (fractional)
Er (0.2364, 0.0000, 0.2189)
Er (0.2573, 0.5000, 0.7816)
Er (0.7427, 0.5000, 0.2184)
Er (0.7636, 0.0000, 0.7811)
Ge (0.0000, 0.5000, 0.0000)
Te (0.0000, 0.0000, 0.5000)
Te (0.5000, 0.5000, 0.5000)
As (0.5000, 0.0000, 0.0000)


(2)
CrPPtW2 | PBE | optimized geometry

The uncorrected energy is -8.2223 eV per atom. The calculation puts the formation energy at 1.174 eV per atom. The calculation puts the density of states at the Fermi level at 5.711 states/eV/cell. The crystal system is tetragonal. The value obtained for the density is 12.60 g/cm3.

Unit cell a=4.5546 b=4.5546 c=4.1030 alpha=90.00 beta=90.00 gamma=90.00
Element x y z (fractional)
Cr (0.0000, 0.0000, 0.0000)
P (0.0000, 0.0000, 0.5000)
Pt (0.5000, 0.5000, 0.5000)
W (0.0000, 0.5000, 0.0000)
W (0.5000, 0.0000, 0.0000)


(3)
RbTl2InSn | PBE | optimized geometry

The uncorrected energy is -2.5538 eV per atom. The calculation puts the formation energy at -0.066 eV per atom. The calculation puts the density of states at the Fermi level at 2.524 states/eV/cell. The crystal system is tetragonal. The value obtained for the density is 6.92 g/cm3.

Unit cell a=7.7746 b=7.7746 c=7.7746 alpha=142.29 beta=142.29 gamma=54.39
Element x y z (fractional)
Rb (0.0000, 0.0000, 0.0000)
Tl (0.3861, 0.3861, 0.0000)
Tl (0.6139, 0.6139, 0.0000)
In (0.7500, 0.2500, 0.5000)
Sn (0.2500, 0.7500, 0.5000)


(4)
SiBiB2 | PBE | optimized geometry

As for the energy relative to the lowest polymorph listed for this composition: 0.000 eV/atom. The uncorrected energy is -5.0962 eV per atom. The calculation puts the raw formation energy at 0.5685 eV per atom. The calculation puts the density of states at the Fermi level at 4.547 states/eV/cell. The crystal system is tetragonal. The value obtained for the density is 6.46 g/cm3.

Unit cell a=6.2628 b=6.2628 c=6.2628 alpha=131.98 beta=131.98 gamma=70.26
Element x y z (fractional)
Si (0.0000, 0.0000, 0.0000)
Si (0.7500, 0.2500, 0.5000)
Bi (0.2500, 0.7500, 0.5000)
Bi (0.5000, 0.5000, 0.0000)
B (0.0671, 0.6250, 0.9421)
B (0.3750, 0.3171, 0.4421)
B (0.6829, 0.1250, 0.0579)
B (0.8750, 0.9329, 0.5579)


(5)
AcTlAu2 | PBE | optimized geometry

As for the energy relative to the lowest polymorph listed for this composition: 0.000 eV/atom. The uncorrected energy is -3.8488 eV per atom. The calculation puts the formation energy at -0.591 eV per atom. The calculation puts the density of states at the Fermi level at 2.892 states/eV/cell. The crystal system is cubic. The value obtained for the density is 13.00 g/cm3.

Unit cell a=5.3028 b=5.3028 c=5.3028 alpha=60.00 beta=60.00 gamma=60.00
Element x y z (fractional)
Ac (0.0000, 0.0000, 0.0000)
Tl (0.5000, 0.5000, 0.5000)
Au (0.2500, 0.2500, 0.2500)
Au (0.7500, 0.7500, 0.7500)


(6)
Hf2FeTc3 | PBE | optimized geometry

The uncorrected energy is -10.2446 eV per atom. The calculation puts the formation energy at -0.333 eV per atom. The calculation puts the density of states at the Fermi level at 5.506 states/eV/cell. The crystal system is trigonal. The value obtained for the density is 11.93 g/cm3.

Unit cell a=5.1777 b=5.1777 c=5.1777 alpha=60.12 beta=60.12 gamma=60.12
Element x y z (fractional)
Hf (0.1243, 0.1243, 0.1243)
Hf (0.8757, 0.8757, 0.8757)
Fe (0.5000, 0.5000, 0.5000)
Tc (0.0000, 0.5000, 0.5000)
Tc (0.5000, 0.0000, 0.5000)
Tc (0.5000, 0.5000, 0.0000)


(7)
LiTe2Br | PBE | optimized geometry

As for the energy relative to the lowest polymorph listed for this composition: 0.084 eV/atom. The uncorrected energy is -3.0028 eV per atom. The calculation puts the raw formation energy at -0.5353 eV per atom. The calculation puts the density of states at the Fermi level at 1.898 states/eV/cell. The crystal system is orthorhombic. The value obtained for the density is 3.77 g/cm3.

Unit cell a=4.1298 b=4.1928 c=8.7026 alpha=90.00 beta=90.00 gamma=90.00
Element x y z (fractional)
Li (0.0000, 0.0000, 0.0000)
Te (0.0000, 0.5000, 0.5000)
Te (0.5000, 0.0000, 0.5000)
Br (0.5000, 0.5000, 0.0000)


(8)
NiSn2Pt9 | PBE | optimized geometry

The uncorrected energy is -5.9347 eV per atom. The calculation puts the formation energy at -0.255 eV per atom. The calculation puts the density of states at the Fermi level at 16.656 states/eV/cell. The crystal system is tetragonal. The value obtained for the density is 17.64 g/cm3.

Unit cell a=4.0090 b=4.0090 c=12.0149 alpha=90.00 beta=90.00 gamma=90.00
Element x y z (fractional)
Ni (0.0000, 0.0000, 0.0000)
Sn (0.0000, 0.0000, 0.3252)
Sn (0.0000, 0.0000, 0.6748)
Pt (0.0000, 0.5000, 0.1564)
Pt (0.0000, 0.5000, 0.5000)
Pt (0.0000, 0.5000, 0.8436)
Pt (0.5000, 0.0000, 0.1564)
Pt (0.5000, 0.0000, 0.5000)
Pt (0.5000, 0.0000, 0.8436)
Pt (0.5000, 0.5000, 0.0000)
Pt (0.5000, 0.5000, 0.3297)
Pt (0.5000, 0.5000, 0.6703)


- What is the density in the eighth record?
  17.64 g/cm3


- What is the density in the second record?
  12.60 g/cm3


- What is the density of states at the Fermi level in the first record?
  1.585 states/eV/cell